Rb2SnH3 (PBE-GGA, relaxed); electronic total energy = -32.6 eV per cell; total magnetic moment = 0.00 μB/cell
1.0
7.689 -2.577 0.000
7.689 2.577 0.000
-3.439 0.000 6.414
Rb Sn H
4 2 6
Cartesian
1.844 0.005 0.982
0.125 -0.005 4.189
11.815 0.005 2.225
10.096 -0.005 5.431
6.830 0.131 1.603
5.110 -0.131 4.810
5.110 1.689 4.810
3.153 0.104 3.753
4.873 -0.104 0.546
7.067 0.104 5.868
8.786 -0.104 2.661
6.830 -1.689 1.603